Density functional theory data (PBE) for crystalline HfTe2Os at its relaxed geometry.

Calculated values
The final energy comes out at -6.59 eV per atom. The uncorrected formation energy comes out at 273 meV per atom. The magnetization comes out at 0.00 μB/cell. The space group is No. 225.

Unit cell a=4.850 b=4.850 c=4.850 alpha=60.00 beta=60.00 gamma=60.00
Sites, in units of the cell vectors:
Hf1 0.000 0.000 0.000
Te1 0.250 0.250 0.250
Te2 0.750 0.750 0.750
Os1 0.500 0.500 0.500